[1]
VASP calculation (meta-GGA SCAN) on a PBEsol-optimized structure of Sr2TeRh.

Computed properties:
**SG**: P4/mmm
**Uncorrected formation energy**: -725 meV per atom

Cell lengths 3.9278, 3.9280, 6.9272 Å; angles 90.00, 90.05, 90.00 degrees
With the nearest neighbours (Å) after each atom.
Element x y z (fractional)
Sr 0.9991 0.0000 0.7370  4 Rh 3.22-3.23, 1 Sr 3.28, 4 Te 3.32
Sr 0.0009 0.0000 0.2630  4 Rh 3.22-3.23, 1 Sr 3.28, 4 Te 3.32
Te 0.5000 0.5000 0.0000  8 Sr 3.32, 2 Rh 3.46
Rh 0.5000 0.5000 0.5000  8 Sr 3.22-3.23, 2 Te 3.46

[2]
VASP calculation (meta-GGA SCAN) on a PBEsol-optimized structure of SiSbOs2.

Computed properties:
**ΔE to the lowest computed polymorph**: 0.0334 eV per atom
**SG**: P4mm
**Uncorrected formation energy**: 373 meV per atom

Cell lengths 2.9059, 2.9059, 7.7231 Å; angles 90.00, 90.00, 90.00 degrees
With the nearest neighbours (Å) after each atom.
Element x y z (fractional)
Os 0.0000 0.0000 0.9946  4 Si 2.52, 4 Os 2.73
Os 0.5000 0.5000 0.2264  8 Os 2.73-2.91, 4 Sb 2.80
Sb 0.0000 0.0000 0.4730  4 Os 2.80, 4 Sb 2.91
Si 0.5000 0.5000 0.8059  4 Os 2.52

[3]
VASP calculation (meta-GGA SCAN) on a PBEsol-optimized structure of TiAuCO2.

Computed properties:
**SG**: P4/mmm
**Uncorrected formation energy**: 1221 meV per atom

Cell lengths 3.6372, 3.6372, 5.8822 Å; angles 90.00, 90.00, 90.00 degrees
With the nearest neighbours (Å) after each atom.
Element x y z (fractional)
C 0.5000 0.5000 0.5000  4 Ti 2.57
Au 0.0000 0.0000 0.0000  4 O 1.82
O 0.0000 0.5000 0.0000  2 Au 1.82
O 0.5000 0.0000 0.0000  2 Au 1.82
Ti 0.0000 0.0000 0.5000  4 C 2.57

[4]
VASP calculation (meta-GGA SCAN) on a PBEsol-optimized structure of NaSrZnB2.

Computed properties:
**Calculated formation energy**: 883 meV/atom
**SG**: P4/mmm

Cell lengths 4.2125, 4.2125, 4.7463 Å; angles 90.00, 90.00, 90.00 degrees
With the nearest neighbours (Å) after each atom.
Element x y z (fractional)
Sr 0.5000 0.5000 0.5000  4 Na 2.98, 8 B 3.17
Zn 0.0000 0.0000 0.0000  4 B 2.11
B 0.0000 0.5000 0.0000  2 Zn 2.11
B 0.5000 0.0000 0.0000  2 Zn 2.11
Na 0.0000 0.0000 0.5000  2 Zn 2.37

[5]
VASP calculation (meta-GGA SCAN) on a PBEsol-optimized structure of TmCu5Sn.

Computed properties:
**Calculated formation energy**: -286 meV/atom
**SG**: Pnma

Cell lengths 4.8808, 8.0480, 10.4227 Å; angles 90.00, 90.00, 90.00 degrees
With the nearest neighbours (Å) after each atom.
Element x y z (fractional)
Tm 0.7500 0.7511 0.4365  10 Cu 2.81-3.11
Tm 0.2500 0.2489 0.5635  10 Cu 2.81-3.11
Tm 0.2500 0.7489 0.9365  10 Cu 2.81-3.11
Tm 0.7500 0.2511 0.0635  10 Cu 2.81-3.11
Cu 0.7500 0.6837 0.7590  7 Cu 2.44-2.54
Cu 0.2500 0.3163 0.2410  7 Cu 2.44-2.54
Cu 0.2500 0.8163 0.2590  7 Cu 2.44-2.54
Cu 0.7500 0.1837 0.7410  7 Cu 2.44-2.54
Cu 0.0013 0.9306 0.6874  7 Cu 2.43-2.52, 1 Sn 2.71
Cu 0.9987 0.0694 0.3126  7 Cu 2.43-2.52, 1 Sn 2.71
Cu 0.9987 0.5694 0.1874  7 Cu 2.43-2.52, 1 Sn 2.71
Cu 0.5013 0.0694 0.3126  7 Cu 2.43-2.52, 1 Sn 2.71
Cu 0.0013 0.4306 0.8126  7 Cu 2.43-2.52, 1 Sn 2.71
Cu 0.4987 0.9306 0.6874  7 Cu 2.43-2.52, 1 Sn 2.71
Cu 0.4987 0.4306 0.8126  7 Cu 2.43-2.52, 1 Sn 2.71
Cu 0.5013 0.5694 0.1874  7 Cu 2.43-2.52, 1 Sn 2.71
Cu 0.7500 0.5847 0.9833  5 Cu 2.45-2.49
Cu 0.2500 0.4153 0.0167  5 Cu 2.45-2.49
Cu 0.2500 0.9153 0.4833  5 Cu 2.45-2.49
Cu 0.7500 0.0847 0.5167  5 Cu 2.45-2.49
Cu 0.7500 0.9423 0.8987  4 Cu 2.52-2.54, 1 Sn 2.58
Cu 0.2500 0.0577 0.1013  4 Cu 2.52-2.54, 1 Sn 2.58
Cu 0.2500 0.5577 0.3987  4 Cu 2.52-2.54, 1 Sn 2.58
Cu 0.7500 0.4423 0.6013  4 Cu 2.52-2.54, 1 Sn 2.58
Sn 0.7500 0.8631 0.1386  8 Cu 2.58-2.77
Sn 0.2500 0.1369 0.8614  8 Cu 2.58-2.77
Sn 0.2500 0.6369 0.6386  8 Cu 2.58-2.77
Sn 0.7500 0.3631 0.3614  8 Cu 2.58-2.77

[6]
VASP calculation (meta-GGA SCAN) on a PBEsol-optimized structure of Y3HfB.

Computed properties:
**Calculated formation energy**: 268 meV/atom
**SG**: Pm-3m

Cell lengths 4.9986, 4.9986, 4.9986 Å; angles 90.00, 90.00, 90.00 degrees
With the nearest neighbours (Å) after each atom.
Element x y z (fractional)
Y 0.0000 0.5000 0.0000  2 B 2.50
Y 0.0000 0.0000 0.5000  2 B 2.50
Y 0.5000 0.0000 0.0000  2 B 2.50
B 0.0000 0.0000 0.0000  6 Y 2.50
Hf 0.5000 0.5000 0.5000  12 Y 3.53

[7]
VASP calculation (meta-GGA SCAN) on a PBEsol-optimized structure of HfW2O8.

Computed properties:
**SG**: P2_13
**Uncorrected formation energy**: -2639 meV per atom

Cell lengths 9.1637, 9.1637, 9.1637 Å; angles 90.00, 90.00, 90.00 degrees
With the nearest neighbours (Å) after each atom.
Element x y z (fractional)
Hf 0.7479 0.2479 0.2521  6 O 2.02-2.08
Hf 0.2479 0.2521 0.7479  6 O 2.02-2.08
Hf 0.2521 0.7479 0.2479  6 O 2.02-2.08
Hf 0.7521 0.7521 0.7521  6 O 2.02-2.08
W 0.1505 0.6505 0.8495  4 O 1.75-1.80
W 0.6505 0.8495 0.1505  4 O 1.75-1.80
W 0.8495 0.1505 0.6505  4 O 1.75-1.80
W 0.3495 0.3495 0.3495  4 O 1.75-1.80
W 0.4072 0.9072 0.5928  4 O 1.73-1.82
W 0.9072 0.5928 0.4072  4 O 1.73-1.82
W 0.5928 0.4072 0.9072  4 O 1.73-1.82
W 0.0928 0.0928 0.0928  4 O 1.73-1.82
O 0.2608 0.7608 0.7392  1 W 1.75
O 0.7608 0.7392 0.2608  1 W 1.75
O 0.7392 0.2608 0.7608  1 W 1.75
O 0.2392 0.2392 0.2392  1 W 1.75
O 0.5162 0.0162 0.4838  1 W 1.73
O 0.0162 0.4838 0.5162  1 W 1.73
O 0.4838 0.5162 0.0162  1 W 1.73
O 0.9838 0.9838 0.9838  1 W 1.73
O 0.9625 0.6954 0.8170  1 W 1.80
O 0.1830 0.4625 0.8046  1 W 1.80
O 0.1954 0.6830 0.0375  1 W 1.80
O 0.4625 0.8046 0.1830  1 W 1.80
O 0.6830 0.0375 0.1954  1 W 1.80
O 0.6954 0.8170 0.9625  1 W 1.80
O 0.0375 0.1954 0.6830  1 W 1.80
O 0.8170 0.9625 0.6954  1 W 1.80
O 0.8046 0.1830 0.4625  1 W 1.80
O 0.5375 0.3046 0.3170  1 W 1.80
O 0.3170 0.5375 0.3046  1 W 1.80
O 0.3046 0.3170 0.5375  1 W 1.80
O 0.5462 0.8033 0.6901  1 W 1.82, 1 Hf 2.02
O 0.3099 0.0462 0.6967  1 W 1.82, 1 Hf 2.02
O 0.3033 0.8099 0.4538  1 W 1.82, 1 Hf 2.02
O 0.0462 0.6967 0.3099  1 W 1.82, 1 Hf 2.02
O 0.8099 0.4538 0.3033  1 W 1.82, 1 Hf 2.02
O 0.8033 0.6901 0.5462  1 W 1.82, 1 Hf 2.02
O 0.4538 0.3033 0.8099  1 W 1.82, 1 Hf 2.02
O 0.6901 0.5462 0.8033  1 W 1.82, 1 Hf 2.02
O 0.6967 0.3099 0.0462  1 W 1.82, 1 Hf 2.02
O 0.9538 0.1967 0.1901  1 W 1.82, 1 Hf 2.02
O 0.1901 0.9538 0.1967  1 W 1.82, 1 Hf 2.02
O 0.1967 0.1901 0.9538  1 W 1.82, 1 Hf 2.02

[8]
VASP calculation (meta-GGA SCAN) on a PBEsol-optimized structure of ZrOs2Cl.

Computed properties:
**SG**: I-4m2
**Uncorrected formation energy**: 794 meV per atom

Cell lengths 3.8682, 3.8682, 5.0337 Å; angles 112.60, 112.60, 90.00 degrees
With the nearest neighbours (Å) after each atom.
Element x y z (fractional)
Os 0.0000 0.0000 0.0000  4 Zr 2.74, 4 Cl 2.86, 4 Os 2.86
Os 0.7500 0.2500 0.5000  4 Cl 2.74, 4 Zr 2.86, 4 Os 2.86
Zr 0.5000 0.5000 0.0000  8 Os 2.74-2.86, 4 Cl 2.86
Cl 0.2500 0.7500 0.5000  8 Os 2.74-2.86, 4 Zr 2.86

[9]
VASP calculation (meta-GGA SCAN) on a PBEsol-optimized structure of KCo2Pb.

Computed properties:
**Calculated formation energy**: 931 meV/atom
**ΔE to the lowest computed polymorph**: 0.6031 eV per atom
**SG**: Fm-3m

Cell lengths 4.6518, 4.6518, 4.6518 Å; angles 60.00, 60.00, 60.00 degrees
With the nearest neighbours (Å) after each atom.
Element x y z (fractional)
Co 0.7500 0.7500 0.7500  4 Pb 2.85, 4 K 2.85
Co 0.2500 0.2500 0.2500  4 K 2.85, 4 Pb 2.85
K 0.5000 0.5000 0.5000  8 Co 2.85
Pb 0.0000 0.0000 0.0000  8 Co 2.85

[10]
VASP calculation (meta-GGA SCAN) on a PBEsol-optimized structure of PdSe2Br6.

Computed properties:
**SG**: P-1
**Uncorrected formation energy**: -229 meV per atom

Cell lengths 4.6396, 7.0572, 8.8392 Å; angles 104.68, 96.04, 92.71 degrees
With the nearest neighbours (Å) after each atom.
Element x y z (fractional)
Pd 0.0000 0.5000 0.5000  2 Se 2.40, 2 Br 2.43
Br 0.3192 0.6359 0.3458  1 Pd 2.43
Br 0.6808 0.3641 0.6542  1 Pd 2.43
Br 0.7537 0.3232 0.0511  1 Se 2.34
Br 0.0705 0.0091 0.7107  1 Se 2.38
Br 0.9295 0.9909 0.2893  1 Se 2.38
Br 0.2463 0.6768 0.9489  1 Se 2.34
Se 0.6734 0.2773 0.2972  2 Br 2.34-2.38, 1 Pd 2.40
Se 0.3266 0.7227 0.7028  2 Br 2.34-2.38, 1 Pd 2.40

[11]
VASP calculation (meta-GGA SCAN) on a PBEsol-optimized structure of Cu3SiSe.

Computed properties:
**SG**: Pm-3m
**Uncorrected formation energy**: 668 meV per atom

Cell lengths 4.3859, 4.3859, 4.3859 Å; angles 90.00, 90.00, 90.00 degrees
With the nearest neighbours (Å) after each atom.
Element x y z (fractional)
Si 0.0000 0.0000 0.0000  6 Cu 2.19
Cu 0.0000 0.5000 0.0000  2 Si 2.19
Cu 0.0000 0.0000 0.5000  2 Si 2.19
Cu 0.5000 0.0000 0.0000  2 Si 2.19
Se 0.5000 0.5000 0.5000  12 Cu 3.10

[12]
VASP calculation (meta-GGA SCAN) on a PBEsol-optimized structure of Ta2InCl.

Computed properties:
**ΔE to the lowest computed polymorph**: 0.3993 eV per atom
**SG**: Cm
**Uncorrected formation energy**: 285 meV per atom

Cell lengths 2.9424, 5.4252, 5.7158 Å; angles 117.16, 104.92, 90.00 degrees
With the nearest neighbours (Å) after each atom.
Element x y z (fractional)
Cl 0.4667 0.4510 0.9334  4 Ta 2.51-2.60
In 0.2658 0.7177 0.5315  2 In 2.94, 7 Ta 3.03-3.13, 3 Cl 3.17-3.26
Ta 0.0193 0.1379 0.0385  2 Cl 2.51
Ta 0.7483 0.1934 0.4965  2 Cl 2.60, 2 Ta 2.82

Please write out number 5 again, unchanged.
VASP calculation (meta-GGA SCAN) on a PBEsol-optimized structure of TmCu5Sn.

Computed properties:
**Calculated formation energy**: -286 meV/atom
**SG**: Pnma

Cell lengths 4.8808, 8.0480, 10.4227 Å; angles 90.00, 90.00, 90.00 degrees
With the nearest neighbours (Å) after each atom.
Element x y z (fractional)
Tm 0.7500 0.7511 0.4365  10 Cu 2.81-3.11
Tm 0.2500 0.2489 0.5635  10 Cu 2.81-3.11
Tm 0.2500 0.7489 0.9365  10 Cu 2.81-3.11
Tm 0.7500 0.2511 0.0635  10 Cu 2.81-3.11
Cu 0.7500 0.6837 0.7590  7 Cu 2.44-2.54
Cu 0.2500 0.3163 0.2410  7 Cu 2.44-2.54
Cu 0.2500 0.8163 0.2590  7 Cu 2.44-2.54
Cu 0.7500 0.1837 0.7410  7 Cu 2.44-2.54
Cu 0.0013 0.9306 0.6874  7 Cu 2.43-2.52, 1 Sn 2.71
Cu 0.9987 0.0694 0.3126  7 Cu 2.43-2.52, 1 Sn 2.71
Cu 0.9987 0.5694 0.1874  7 Cu 2.43-2.52, 1 Sn 2.71
Cu 0.5013 0.0694 0.3126  7 Cu 2.43-2.52, 1 Sn 2.71
Cu 0.0013 0.4306 0.8126  7 Cu 2.43-2.52, 1 Sn 2.71
Cu 0.4987 0.9306 0.6874  7 Cu 2.43-2.52, 1 Sn 2.71
Cu 0.4987 0.4306 0.8126  7 Cu 2.43-2.52, 1 Sn 2.71
Cu 0.5013 0.5694 0.1874  7 Cu 2.43-2.52, 1 Sn 2.71
Cu 0.7500 0.5847 0.9833  5 Cu 2.45-2.49
Cu 0.2500 0.4153 0.0167  5 Cu 2.45-2.49
Cu 0.2500 0.9153 0.4833  5 Cu 2.45-2.49
Cu 0.7500 0.0847 0.5167  5 Cu 2.45-2.49
Cu 0.7500 0.9423 0.8987  4 Cu 2.52-2.54, 1 Sn 2.58
Cu 0.2500 0.0577 0.1013  4 Cu 2.52-2.54, 1 Sn 2.58
Cu 0.2500 0.5577 0.3987  4 Cu 2.52-2.54, 1 Sn 2.58
Cu 0.7500 0.4423 0.6013  4 Cu 2.52-2.54, 1 Sn 2.58
Sn 0.7500 0.8631 0.1386  8 Cu 2.58-2.77
Sn 0.2500 0.1369 0.8614  8 Cu 2.58-2.77
Sn 0.2500 0.6369 0.6386  8 Cu 2.58-2.77
Sn 0.7500 0.3631 0.3614  8 Cu 2.58-2.77

- What is the formula in the first record?
  Sr2TeRh

Repeat the sixth record exactly.
VASP calculation (meta-GGA SCAN) on a PBEsol-optimized structure of Y3HfB.

Computed properties:
**Calculated formation energy**: 268 meV/atom
**SG**: Pm-3m

Cell lengths 4.9986, 4.9986, 4.9986 Å; angles 90.00, 90.00, 90.00 degrees
With the nearest neighbours (Å) after each atom.
Element x y z (fractional)
Y 0.0000 0.5000 0.0000  2 B 2.50
Y 0.0000 0.0000 0.5000  2 B 2.50
Y 0.5000 0.0000 0.0000  2 B 2.50
B 0.0000 0.0000 0.0000  6 Y 2.50
Hf 0.5000 0.5000 0.5000  12 Y 3.53